Entry 1:
Crystalline BaMg2Sb at its relaxed geometry. Source: the Alexandria database, functional PBE.

Results
* uncorrected formation energy: -0.31 eV/atom
* total magnetic moment: 0.0000 μB per atom
* total energy: -10.48 eV for the cell shown

Cell lengths 4.8711, 4.8711, 5.2321 Å; angles 90.00, 90.00, 90.00 degrees
Last column: nearest neighbours and their distance in Å.
Fractional positions:
Ba  0.0000  0.0000  0.0000  4 Sb 3.44, 8 Mg 3.57
Mg  0.0000  0.5000  0.5000  4 Mg 3.44, 4 Sb 3.57, 4 Ba 3.57
Mg  0.5000  0.0000  0.5000  4 Mg 3.44, 4 Sb 3.57, 4 Ba 3.57
Sb  0.5000  0.5000  0.0000  4 Ba 3.44, 8 Mg 3.57

***

Entry 2:
Crystalline Hg2SbAu at its relaxed geometry. Source: the Alexandria database, functional PBE.

Results
* uncorrected formation energy: 0.17 eV/atom
* total magnetic moment: 0.0000 μB per atom
* total energy: -7.32 eV for the cell shown

Cell lengths 9.1343, 9.1343, 9.1343 Å; angles 22.41, 22.41, 22.41 degrees
Last column: nearest neighbours and their distance in Å.
Fractional positions:
Hg  0.2426  0.2426  0.2426  3 Au 2.88, 3 Sb 3.17
Hg  0.7574  0.7574  0.7574  3 Au 2.88, 3 Sb 3.17
Sb  0.0000  0.0000  0.0000  6 Hg 3.17, 6 Sb 3.55
Au  0.5000  0.5000  0.5000  6 Hg 2.88

***

Entry 3:
Crystalline YSe2Cl at its relaxed geometry. Source: the Alexandria database, functional PBE.

Results
* energy relative to the lowest polymorph listed for this composition: 289 meV/atom
* uncorrected formation energy: -1.11 eV/atom
* total magnetic moment: 0.0000 μB per atom
* total energy: -19.73 eV for the cell shown

Cell lengths 4.1644, 4.6484, 6.5346 Å; angles 90.00, 90.00, 90.00 degrees
Last column: nearest neighbours and their distance in Å.
Fractional positions:
Y  0.0000  0.0000  0.0000  2 Se 2.81, 2 Cl 2.91
Se  0.5000  0.0000  0.2890  2 Se 2.51, 2 Y 2.81
Se  0.5000  0.5000  0.1427  2 Se 2.51
Cl  0.0000  0.5000  0.7314  2 Y 2.91

***

Entry 4:
Crystalline NiPOs at its relaxed geometry. Source: the Alexandria database, functional PBE.

Results
* total magnetic moment: 0.0000 μB per atom
* ΔH_f (0 K): -13.1 kJ per mole of atoms
* total energy: -45.66 eV for the cell shown

Cell lengths 4.2183, 2.9247, 6.3094 Å; angles 90.00, 99.32, 90.00 degrees
Last column: nearest neighbours and their distance in Å.
Fractional positions:
Ni  0.0000  0.0000  0.0000  4 P 2.17-2.30
Ni  0.1287  0.0000  0.5567  3 P 2.25-2.34
P  0.0259  0.5000  0.2829  4 Ni 2.25-2.30, 2 Os 2.44
P  0.4617  0.0000  0.8918  3 Ni 2.17-2.34, 3 Os 2.30-2.41
Os  0.5613  0.0000  0.2786  5 P 2.41-2.69
Os  0.6574  0.5000  0.6628  2 P 2.30

***

Entry 5:
Crystalline Co2TeCl at its relaxed geometry. Source: the Alexandria database, functional PBE.

Results
* energy relative to the lowest polymorph listed for this composition: 262 meV/atom
* uncorrected formation energy: 0.19 eV/atom
* total magnetic moment: 0.8883 μB per atom
* total energy: -18.43 eV for the cell shown

Cell lengths 3.2845, 3.7633, 6.1841 Å; angles 90.00, 90.00, 90.00 degrees
Last column: nearest neighbours and their distance in Å.
Fractional positions:
Co  0.0000  0.0000  0.1828  1 Co 2.26
Co  0.0000  0.0000  0.8172  1 Co 2.26
Te  0.5000  0.5000  0.0000  8 Co 2.74
Cl  0.5000  0.0000  0.5000  4 Co 2.56

***

Entry 6:
Crystalline TaCoSe2 at its relaxed geometry. Source: the Alexandria database, functional PBE.

Results
* uncorrected formation energy: 0.22 eV/atom
* total magnetic moment: 0.0001 μB per atom
* total energy: -25.06 eV for the cell shown

Cell lengths 5.3424, 5.3424, 5.3424 Å; angles 139.48, 139.48, 58.65 degrees
Last column: nearest neighbours and their distance in Å.
Fractional positions:
Ta  0.0000  0.0000  0.0000  4 Se 2.62
Co  0.2500  0.7500  0.5000  4 Se 2.62
Se  0.5000  0.5000  0.0000  4 Ta 2.62
Se  0.7500  0.2500  0.5000  4 Co 2.62

***

Entry 7:
Crystalline LaPm2Dy4Tm at its relaxed geometry. Source: the Alexandria database, functional PBE.

Results
* total magnetic moment: 0.0000 μB per atom
* ΔH_f (0 K): 2.3 kJ per mole of atoms
* total energy: -37.12 eV for the cell shown

Cell lengths 5.0743, 5.0884, 10.1307 Å; angles 90.00, 90.00, 90.00 degrees
Last column: nearest neighbours and their distance in Å.
Fractional positions:
La  0.0000  0.0000  0.0000  4 Pm 3.59, 8 Dy 3.62
Pm  0.0000  0.0000  0.5000  8 Dy 3.55-3.56, 4 Tm 3.59
Pm  0.5000  0.5000  0.0000  4 La 3.59, 8 Dy 3.62
Dy  0.0000  0.5000  0.2546  2 Tm 3.55, 4 Pm 3.56-3.62, 4 Dy 3.59, 2 La 3.62
Dy  0.0000  0.5000  0.7454  2 Tm 3.55, 4 Pm 3.56-3.62, 4 Dy 3.59, 2 La 3.62
Dy  0.5000  0.0000  0.2543  4 Pm 3.55-3.62, 2 Tm 3.56, 4 Dy 3.59, 2 La 3.62
Dy  0.5000  0.0000  0.7457  4 Pm 3.55-3.62, 2 Tm 3.56, 4 Dy 3.59, 2 La 3.62
Tm  0.5000  0.5000  0.5000  8 Dy 3.55-3.56, 4 Pm 3.59

***

Entry 8:
Crystalline SrMgGeP2 at its relaxed geometry. Source: the Alexandria database, functional PBE.

Results
* total magnetic moment: 0.0000 μB per atom
* ΔH_f (0 K): 115.4 kJ per mole of atoms
* total energy: -12.73 eV for the cell shown

Cell lengths 5.3951, 5.3951, 5.7954 Å; angles 90.00, 90.00, 90.00 degrees
Last column: nearest neighbours and their distance in Å.
Fractional positions:
Sr  0.0000  0.0000  0.0000  4 P 2.70, 2 Mg 2.90
Mg  0.0000  0.0000  0.5000  2 Sr 2.90
Ge  0.5000  0.5000  0.5000  4 Mg 3.81, 8 P 3.96
P  0.0000  0.5000  0.0000  2 Sr 2.70
P  0.5000  0.0000  0.0000  2 Sr 2.70

***

Entry 9:
Crystalline HfMgBi2 at its relaxed geometry. Source: the Alexandria database, functional PBE.

Results
* energy relative to the lowest polymorph listed for this composition: 128 meV/atom
* total magnetic moment: 0.0003 μB per atom
* ΔH_f (0 K): 4.6 kJ per mole of atoms
* total energy: -19.12 eV for the cell shown

Cell lengths 5.5730, 5.5730, 3.3075 Å; angles 90.00, 90.00, 90.00 degrees
Last column: nearest neighbours and their distance in Å.
Fractional positions:
Hf  0.0000  0.0000  0.0000  8 Bi 3.24, 2 Hf 3.31
Mg  0.5000  0.5000  0.0000  8 Bi 3.24, 2 Mg 3.31
Bi  0.0000  0.5000  0.5000  4 Hf 3.24, 4 Mg 3.24, 2 Bi 3.31
Bi  0.5000  0.0000  0.5000  4 Hf 3.24, 4 Mg 3.24, 2 Bi 3.31

***

Entry 10:
Crystalline CaCo2As at its relaxed geometry. Source: the Alexandria database, functional PBE.

Results
* total magnetic moment: 0.0976 μB per atom
* ΔH_f (0 K): 11.8 kJ per mole of atoms
* total energy: -20.37 eV for the cell shown

Cell lengths 2.9909, 2.9909, 6.9324 Å; angles 90.00, 90.00, 90.00 degrees
Last column: nearest neighbours and their distance in Å.
Fractional positions:
Ca  0.0000  0.0000  0.0000  4 Ca 2.99, 8 Co 3.04
Co  0.5000  0.5000  0.3155  4 As 2.47, 1 Co 2.56
Co  0.5000  0.5000  0.6845  4 As 2.47, 1 Co 2.56
As  0.0000  0.0000  0.5000  8 Co 2.47

***

Entry 11:
Crystalline TiGa4Ni7 at its relaxed geometry. Source: the Alexandria database, functional PBE.

Results
* total magnetic moment: 0.0133 μB per atom
* ΔH_f (0 K): -15.7 kJ per mole of atoms
* total energy: -62.43 eV for the cell shown

Cell lengths 5.3177, 5.3177, 8.8031 Å; angles 118.27, 118.27, 48.43 degrees
Last column: nearest neighbours and their distance in Å.
Fractional positions:
Ti  0.0000  0.0000  0.0000  2 Ni 2.18
Ga  0.2664  0.2664  0.6748  6 Ni 2.36-2.57
Ga  0.4104  0.4104  0.2245  8 Ni 2.39-2.54
Ga  0.5896  0.5896  0.7755  8 Ni 2.39-2.54
Ga  0.7336  0.7336  0.3252  6 Ni 2.36-2.57
Ni  0.0602  0.0602  0.3451  4 Ni 2.46-2.61, 3 Ga 2.53
Ni  0.2178  0.2178  0.9115  4 Ga 2.36-2.49, 4 Ni 2.43-2.56, 1 Ti 2.60
Ni  0.3575  0.3575  0.4651  5 Ga 2.42-2.49, 4 Ni 2.50-2.61
Ni  0.5000  0.5000  0.0000  2 Ti 2.18, 2 Ni 2.43
Ni  0.6425  0.6425  0.5349  5 Ga 2.42-2.49, 4 Ni 2.50-2.61
Ni  0.7822  0.7822  0.0885  4 Ga 2.36-2.49, 4 Ni 2.43-2.56, 1 Ti 2.60
Ni  0.9398  0.9398  0.6549  4 Ni 2.46-2.61, 3 Ga 2.53

***

Entry 12:
Crystalline LaBe3Al at its relaxed geometry. Source: the Alexandria database, functional PBE.

Results
* energy relative to the lowest polymorph listed for this composition: 0 meV/atom
* total magnetic moment: 0.0000 μB per atom
* ΔH_f (0 K): 42.1 kJ per mole of atoms
* total energy: -17.66 eV for the cell shown

Cell lengths 4.4333, 4.4333, 4.4333 Å; angles 90.00, 90.00, 90.00 degrees
Last column: nearest neighbours and their distance in Å.
Fractional positions:
La  0.0000  0.0000  0.0000  12 Be 3.13
Be  0.0000  0.5000  0.5000  2 Al 2.22
Be  0.5000  0.0000  0.5000  2 Al 2.22
Be  0.5000  0.5000  0.0000  2 Al 2.22
Al  0.5000  0.5000  0.5000  6 Be 2.22